Entry 1:
The following is a DFT calculation (PBE-GGA) of a relaxed Sm4AlGe crystal.

abc: 9.8816 9.8816 9.8816
angles: 60.00 60.00 60.00
With the nearest neighbours (Å) after each atom.
Atoms (fractional coordinates):
Sm: 0.1864 0.1864 0.8136  2 Al 3.41, 2 Ge 3.58, 10 Sm 3.58-3.68
Sm: 0.1864 0.8136 0.1864  2 Al 3.41, 2 Ge 3.58, 10 Sm 3.58-3.68
Sm: 0.1864 0.8136 0.8136  2 Al 3.41, 2 Ge 3.58, 10 Sm 3.58-3.68
Sm: 0.3903 0.3903 0.3903  3 Ge 3.01, 3 Al 3.29
Sm: 0.3903 0.3903 0.8290  3 Ge 3.01, 3 Al 3.29
Sm: 0.3903 0.8290 0.3903  3 Ge 3.01, 3 Al 3.29
Sm: 0.5529 0.5529 0.9471  2 Ge 2.94
Sm: 0.5529 0.9471 0.5529  2 Ge 2.94
Sm: 0.5529 0.9471 0.9471  2 Ge 2.94
Sm: 0.8136 0.1864 0.1864  2 Al 3.41, 2 Ge 3.58, 10 Sm 3.58-3.68
Sm: 0.8136 0.1864 0.8136  2 Al 3.41, 2 Ge 3.58, 10 Sm 3.58-3.68
Sm: 0.8136 0.8136 0.1864  2 Al 3.41, 2 Ge 3.58, 10 Sm 3.58-3.68
Sm: 0.8290 0.3903 0.3903  3 Ge 3.01, 3 Al 3.29
Sm: 0.9471 0.5529 0.5529  2 Ge 2.94
Sm: 0.9471 0.5529 0.9471  2 Ge 2.94
Sm: 0.9471 0.9471 0.5529  2 Ge 2.94
Al: 0.1722 0.1722 0.1722  3 Al 3.08, 6 Sm 3.29-3.41
Al: 0.1722 0.1722 0.4835  3 Al 3.08, 6 Sm 3.29-3.41
Al: 0.1722 0.4835 0.1722  3 Al 3.08, 6 Sm 3.29-3.41
Al: 0.4835 0.1722 0.1722  3 Al 3.08, 6 Sm 3.29-3.41
Ge: 0.1821 0.6060 0.6060  6 Sm 2.94-3.01
Ge: 0.6060 0.1821 0.6060  6 Sm 2.94-3.01
Ge: 0.6060 0.6060 0.1821  6 Sm 2.94-3.01
Ge: 0.6060 0.6060 0.6060  6 Sm 2.94-3.01

For the formation energy, the calculation gives -0.4089 eV/atom. Its space group is F-43m (216). The calculation puts the energy above the most stable polymorph in this dataset at 0.00 eV/f.u.


Entry 2:
The following is a DFT calculation (PBE-GGA) of a relaxed SmAl2Ge crystal.

abc: 4.2755 4.2755 4.4648
angles: 90.00 90.00 90.00
With the nearest neighbours (Å) after each atom.
Atoms (fractional coordinates):
Sm: 0.0000 0.0000 0.0000  4 Ge 3.02, 8 Al 3.09
Al: 0.0000 0.5000 0.5000  4 Al 3.02, 4 Ge 3.09, 4 Sm 3.09
Al: 0.5000 0.0000 0.5000  4 Al 3.02, 4 Ge 3.09, 4 Sm 3.09
Ge: 0.5000 0.5000 0.0000  4 Sm 3.02, 8 Al 3.09

For the formation energy, the calculation gives -0.4120 eV/atom. Its space group is P4/mmm (123). The calculation puts the energy above the most stable polymorph in this dataset at 0.00 eV/f.u.


Entry 3:
The following is a DFT calculation (PBE-GGA) of a relaxed Sm2AlGe crystal.

abc: 4.0754 4.0754 28.9590
angles: 90.00 90.00 120.00
With the nearest neighbours (Å) after each atom.
Atoms (fractional coordinates):
Sm: 0.0000 0.0000 0.1102  3 Ge 2.87, 1 Al 3.19
Sm: 0.0000 0.0000 0.8898  3 Ge 2.87, 1 Al 3.19
Sm: 0.3333 0.6667 0.5565  3 Ge 2.87, 1 Al 3.19
Sm: 0.3333 0.6667 0.7768  3 Ge 2.87, 1 Al 3.19
Sm: 0.6667 0.3333 0.2232  3 Ge 2.87, 1 Al 3.19
Sm: 0.6667 0.3333 0.4435  3 Ge 2.87, 1 Al 3.19
Al: 0.0000 0.0000 0.0000  2 Sm 3.19
Al: 0.3333 0.6667 0.6667  2 Sm 3.19
Al: 0.6667 0.3333 0.3333  2 Sm 3.19
Ge: 0.0000 0.0000 0.5000  6 Sm 2.87
Ge: 0.3333 0.6667 0.1667  6 Sm 2.87
Ge: 0.6667 0.3333 0.8333  6 Sm 2.87

For the formation energy, the calculation gives 0.0639 eV/atom. Its space group is R-3m (166).


Entry 4:
The following is a DFT calculation (PBE-GGA) of a relaxed SmAlGe2 crystal.

abc: 4.0667 10.9013 7.4964
angles: 90.00 90.00 90.00
With the nearest neighbours (Å) after each atom.
Atoms (fractional coordinates):
Sm: 0.0000 0.0640 0.2500  3 Al 3.09-3.12, 8 Ge 3.12-3.22
Sm: 0.0000 0.9360 0.7500  3 Al 3.09-3.12, 8 Ge 3.12-3.22
Sm: 0.5000 0.4360 0.7500  3 Al 3.09-3.12, 8 Ge 3.12-3.22
Sm: 0.5000 0.5640 0.2500  3 Al 3.09-3.12, 8 Ge 3.12-3.22
Al: 0.0000 0.2193 0.7500  6 Ge 2.72-2.87
Al: 0.0000 0.7807 0.2500  6 Ge 2.72-2.87
Al: 0.5000 0.2807 0.2500  6 Ge 2.72-2.87
Al: 0.5000 0.7193 0.7500  6 Ge 2.72-2.87
Ge: 0.0000 0.3786 0.0547  3 Al 2.72-2.87, 2 Ge 2.77-2.93
Ge: 0.0000 0.3786 0.4453  3 Al 2.72-2.87, 2 Ge 2.77-2.93
Ge: 0.0000 0.6214 0.5547  3 Al 2.72-2.87, 2 Ge 2.77-2.93
Ge: 0.0000 0.6214 0.9453  3 Al 2.72-2.87, 2 Ge 2.77-2.93
Ge: 0.5000 0.1214 0.5547  3 Al 2.72-2.87, 2 Ge 2.77-2.93
Ge: 0.5000 0.1214 0.9453  3 Al 2.72-2.87, 2 Ge 2.77-2.93
Ge: 0.5000 0.8786 0.0547  3 Al 2.72-2.87, 2 Ge 2.77-2.93
Ge: 0.5000 0.8786 0.4453  3 Al 2.72-2.87, 2 Ge 2.77-2.93

For the formation energy, the calculation gives -0.4039 eV/atom. Its space group is Cmcm (63).